Compound: NaAcPb2S4
Source: Alexandria
Functional: GGA-PBE
Structure: optimized geometry

Unit cell a=7.372 b=7.372 c=7.372 alpha=132.05 beta=132.05 gamma=70.15
Fractional coordinates of all 8 atoms:
Na: 0.000 0.000 0.000
Ac: 0.500 0.500 0.000
Pb: 0.250 0.750 0.500
Pb: 0.750 0.250 0.500
S: 0.000 0.500 0.500
S: 0.253 0.253 0.000
S: 0.500 0.000 0.500
S: 0.747 0.747 0.000

Output
The symmetry is No. 139. The calculation puts the total energy at -38.90 eV/cell. The calculated volume is 27.066 Å³ per atom.